DFT (PBE) results for a relaxed structure of NaHfIn. Values from VASP.

Geometry as Quantum ESPRESSO input:
```
&SYSTEM
  ibrav = 0, nat = 6, ntyp = 3
/
ATOMIC_SPECIES
Na 22.99 Na.upf
Hf 178.49 Hf.upf
In 114.82 In.upf
ATOMIC_POSITIONS crystal
Na 0.0000 0.0000 0.0000
Na 0.0000 0.0000 0.5000
Hf 0.3333 0.6667 0.2500
Hf 0.6667 0.3333 0.7500
In 0.3333 0.6667 0.7500
In 0.6667 0.3333 0.2500
CELL_PARAMETERS angstrom
5.1744 0.0000 0.0000
-2.5872 4.4811 0.0000
0.0000 0.0000 6.0007
```

## Properties
For the distance to the lowest polymorph of the same formula, the calculation gives 313 meV/atom. Its total DFT energy (no corrections) is -4.45 eV/atom. The value obtained for the formation energy is 0.221 eV/atom.